1.
DFT (PBE) results for a geometry-optimized Ta4PSe structure.

The value obtained for the calculated density is 11.926 g/cm3. The value obtained for the density of states at the Fermi level is 27.60 states/eV/cell. The electronic total energy is -208.2 eV/cell. The calculation puts the volume at 116.08 Å³/f.u. For the formation energy (no corrections), the calculation gives 0.710 eV/atom.

The structure belongs to space group F-43m (No. 216); the cell edges are 7.7436, 7.7436 and 7.7436 Å and the angles 90.00°, 90.00° and 90.00°. The inequivalent atoms are Ta at (0.1252, 0.1252, 0.1252), P at (0.0000, 0.0000, 0.5000) and Se at (0.2500, 0.2500, 0.7500).

---

2.
DFT (PBE) results for a geometry-optimized La3Pr6Ho2 structure.

The value obtained for the calculated density is 6.441 g/cm3. The value obtained for the density of states at the Fermi level is 30.05 states/eV/cell. The electronic total energy is -99.5 eV/cell. The energy of formation from the pure elements is 6.0 kcal/mol of atoms. The calculation puts the volume at 410.41 Å³/f.u.

The structure belongs to space group I4/mmm (No. 139); the cell edges are 4.9007, 4.9007 and 34.1765 Å and the angles 90.00°, 90.00° and 90.00°. The inequivalent atoms are La at (0.0000, 0.0000, 0.0000), La at (0.0000, 0.0000, 0.2057), Pr at (0.0000, 0.0000, 0.3075), Pr at (0.0000, 0.5000, 0.1179) and Ho at (0.0000, 0.0000, 0.4549).